(1)
A relaxed structure of Tb2Pm3Y6Er. Source: Alexandria via LeMat-Bulk, functional GGA-PBE.

Unit cell a=6.210 b=6.210 c=11.849 alpha=95.00 beta=95.00 gamma=119.97
Positions (direct):
Y  0.918  0.584  0.753
Y  0.082  0.416  0.247
Y  0.251  0.251  0.753
Y  0.584  0.918  0.753
Y  0.416  0.082  0.247
Y  0.749  0.749  0.247
Pm  0.167  0.833  0.500
Pm  0.500  0.500  0.500
Pm  0.833  0.167  0.500
Tb  0.333  0.667  0.000
Tb  0.667  0.333  0.000
Er  0.000  0.000  0.000

Summary:
DOS(E_F) = 16.6 states/eV/f.u.
size of the total moment = 0.00 Bohr magnetons per cell
DFT formation energy = 20 kJ/mol of formula units
total DFT energy (no corrections) = -66.65 eV/cell


(2)
A relaxed structure of TbPm2Y2Er4. Source: Alexandria via LeMat-Bulk, functional GGA-PBE.

Unit cell a=3.590 b=9.489 c=9.538 alpha=115.25 beta=90.00 gamma=100.90
Positions (direct):
Y  0.147  0.293  0.663
Y  0.853  0.707  0.337
Er  0.519  0.039  0.334
Er  0.815  0.629  0.664
Er  0.481  0.961  0.666
Er  0.185  0.371  0.336
Pm  0.334  0.668  0.999
Pm  0.666  0.332  0.001
Tb  0.000  0.000  0.000

Summary:
DOS(E_F) = 12.3 states/eV/f.u.
size of the total moment = 0.00 Bohr magnetons per cell
DFT formation energy = -3 kJ/mol of formula units
total DFT energy (no corrections) = -45.35 eV/cell


(3)
A relaxed structure of TbPm2YEr6. Source: Alexandria via LeMat-Bulk, functional GGA-PBE.

Unit cell a=9.625 b=8.745 c=8.745 alpha=118.29 beta=94.50 gamma=94.50
Positions (direct):
Pm  0.543  0.193  0.299
Pm  0.457  0.807  0.701
Pm  0.043  0.299  0.193
Pm  0.957  0.701  0.807
Er  0.381  0.502  0.291
Er  0.119  0.709  0.498
Er  0.943  0.874  0.255
Er  0.814  0.425  0.976
Er  0.057  0.126  0.745
Er  0.314  0.976  0.425
Er  0.881  0.291  0.502
Er  0.186  0.575  0.024
Er  0.443  0.255  0.874
Er  0.686  0.024  0.575
Er  0.557  0.745  0.126
Er  0.619  0.498  0.709
Tb  0.750  0.593  0.407
Tb  0.250  0.407  0.593
Y  0.250  0.981  0.019
Y  0.750  0.019  0.981

Summary:
DOS(E_F) = 13.7 states/eV/f.u.
size of the total moment = 0.00 Bohr magnetons per cell
DFT formation energy = 113 kJ/mol of formula units
total DFT energy (no corrections) = -93.61 eV/cell


(4)
A relaxed structure of Tb6PmY2Er3. Source: Alexandria via LeMat-Bulk, functional GGA-PBE.

Unit cell a=6.157 b=6.157 c=11.785 alpha=94.97 beta=94.97 gamma=119.95
Positions (direct):
Er  0.833  0.167  0.500
Er  0.500  0.500  0.500
Er  0.167  0.833  0.500
Tb  0.418  0.085  0.253
Tb  0.915  0.582  0.747
Tb  0.248  0.248  0.747
Tb  0.085  0.418  0.253
Tb  0.752  0.752  0.253
Tb  0.582  0.915  0.747
Y  0.333  0.667  0.000
Y  0.667  0.333  0.000
Pm  0.000  0.000  0.000

Summary:
DOS(E_F) = 15.8 states/eV/f.u.
size of the total moment = 0.00 Bohr magnetons per cell
DFT formation energy = 20 kJ/mol of formula units
total DFT energy (no corrections) = -58.94 eV/cell


(5)
A relaxed structure of Tb2Pm2Y4Er. Source: Alexandria via LeMat-Bulk, functional GGA-PBE.

Unit cell a=3.611 b=9.544 c=9.598 alpha=115.22 beta=90.00 gamma=100.90
Positions (direct):
Pm  0.665  0.331  0.998
Pm  0.335  0.669  0.002
Y  0.185  0.371  0.334
Y  0.519  0.038  0.334
Y  0.815  0.629  0.666
Y  0.481  0.962  0.666
Tb  0.852  0.704  0.335
Tb  0.148  0.296  0.665
Er  0.000  0.000  0.000

Summary:
DOS(E_F) = 12.6 states/eV/f.u.
size of the total moment = 0.00 Bohr magnetons per cell
DFT formation energy = -2 kJ/mol of formula units
total DFT energy (no corrections) = -49.20 eV/cell


(6)
A relaxed structure of TbPmY2Er6. Source: Alexandria via LeMat-Bulk, functional GGA-PBE.

Unit cell a=9.402 b=8.765 c=8.765 alpha=117.24 beta=93.09 gamma=93.09
Positions (direct):
Er  0.817  0.436  0.983
Er  0.683  0.017  0.564
Er  0.884  0.291  0.515
Er  0.616  0.485  0.709
Er  0.442  0.245  0.878
Er  0.384  0.515  0.291
Er  0.116  0.709  0.485
Er  0.058  0.122  0.755
Er  0.942  0.878  0.245
Er  0.558  0.755  0.122
Er  0.183  0.564  0.017
Er  0.317  0.983  0.436
Y  0.952  0.697  0.801
Y  0.548  0.199  0.303
Y  0.048  0.303  0.199
Y  0.452  0.801  0.697
Tb  0.250  0.410  0.590
Tb  0.750  0.590  0.410
Pm  0.250  0.970  0.030
Pm  0.750  0.030  0.970

Summary:
DOS(E_F) = 15.1 states/eV/f.u.
size of the total moment = 0.00 Bohr magnetons per cell
DFT formation energy = 123 kJ/mol of formula units
total DFT energy (no corrections) = -96.83 eV/cell


(7)
A relaxed structure of TbPmY2Er5. Source: Alexandria via LeMat-Bulk, functional GGA-PBE.

Unit cell a=5.595 b=10.224 c=10.574 alpha=90.00 beta=90.00 gamma=105.88
Positions (direct):
Er  0.479  0.958  0.737
Er  0.981  0.962  0.526
Er  0.299  0.597  0.709
Er  0.717  0.434  0.810
Er  0.609  0.219  0.522
Er  0.283  0.566  0.310
Er  0.019  0.038  0.026
Er  0.391  0.781  0.022
Er  0.521  0.042  0.237
Er  0.701  0.403  0.209
Pm  0.583  0.167  0.954
Pm  0.417  0.833  0.454
Tb  0.798  0.597  0.511
Tb  0.202  0.403  0.011
Y  0.110  0.220  0.735
Y  0.887  0.773  0.820
Y  0.890  0.780  0.235
Y  0.113  0.227  0.320

Summary:
DOS(E_F) = 14.4 states/eV/f.u.
size of the total moment = 0.00 Bohr magnetons per cell
DFT formation energy = 136 kJ/mol of formula units
total DFT energy (no corrections) = -87.43 eV/cell


(8)
A relaxed structure of Tb3Pm2Y6Er. Source: Alexandria via LeMat-Bulk, functional GGA-PBE.

Unit cell a=6.193 b=6.193 c=11.840 alpha=94.98 beta=94.98 gamma=119.96
Positions (direct):
Pm  0.667  0.333  0.000
Pm  0.333  0.667  0.000
Y  0.583  0.916  0.749
Y  0.916  0.583  0.749
Y  0.751  0.751  0.251
Y  0.417  0.084  0.251
Y  0.249  0.249  0.749
Y  0.084  0.417  0.251
Tb  0.167  0.833  0.500
Tb  0.833  0.167  0.500
Tb  0.500  0.500  0.500
Er  0.000  0.000  0.000

Summary:
DOS(E_F) = 16.4 states/eV/f.u.
size of the total moment = 0.00 Bohr magnetons per cell
DFT formation energy = 20 kJ/mol of formula units
total DFT energy (no corrections) = -66.53 eV/cell


What did the third record say?
A relaxed structure of TbPm2YEr6. Source: Alexandria via LeMat-Bulk, functional GGA-PBE.

Unit cell a=9.625 b=8.745 c=8.745 alpha=118.29 beta=94.50 gamma=94.50
Positions (direct):
Pm  0.543  0.193  0.299
Pm  0.457  0.807  0.701
Pm  0.043  0.299  0.193
Pm  0.957  0.701  0.807
Er  0.381  0.502  0.291
Er  0.119  0.709  0.498
Er  0.943  0.874  0.255
Er  0.814  0.425  0.976
Er  0.057  0.126  0.745
Er  0.314  0.976  0.425
Er  0.881  0.291  0.502
Er  0.186  0.575  0.024
Er  0.443  0.255  0.874
Er  0.686  0.024  0.575
Er  0.557  0.745  0.126
Er  0.619  0.498  0.709
Tb  0.750  0.593  0.407
Tb  0.250  0.407  0.593
Y  0.250  0.981  0.019
Y  0.750  0.019  0.981

Summary:
DOS(E_F) = 13.7 states/eV/f.u.
size of the total moment = 0.00 Bohr magnetons per cell
DFT formation energy = 113 kJ/mol of formula units
total DFT energy (no corrections) = -93.61 eV/cell